No. 1
The following is a GGA-PBEsol calculation of a geometry-optimized HfAsAu2Se structure, from the Alexandria database.

abc: 5.1167 5.0730 5.0730
angles: 90.00 90.00 90.00
Last column: nearest neighbours and their distance in Å.
Positions (direct):
Hf  0.0000  0.0000  0.0000  4 Au 2.54, 2 As 2.56
As  0.5000  0.0000  0.0000  2 Hf 2.56
Au  0.0000  0.0000  0.5000  2 Hf 2.54
Au  0.0000  0.5000  0.0000  2 Hf 2.54
Se  0.5000  0.5000  0.5000  4 As 3.59, 8 Au 3.60

Density of states at the Fermi level: 4.60 states/eV/cell
Space group: P4/mmm
Raw formation energy: 0.840 eV/atom

=====

No. 2
The following is a GGA-PBEsol calculation of a geometry-optimized HgAsAu2 structure, from the Alexandria database.

abc: 4.7241 4.7241 4.7241
angles: 60.00 60.00 60.00
Last column: nearest neighbours and their distance in Å.
Positions (direct):
As  0.5000  0.5000  0.5000  4 Hg 2.89, 4 Au 2.89
Au  0.0000  0.0000  0.0000  4 Hg 2.89, 4 Au 2.89
Au  0.7500  0.7500  0.7500  4 As 2.89, 4 Au 2.89
Hg  0.2500  0.2500  0.2500  4 As 2.89, 4 Au 2.89

Formation enthalpy at 0 K: 297 meV per atom
Density of states at the Fermi level: 3.85 states/eV/cell
Space group: F-43m

=====

No. 3
The following is a GGA-PBEsol calculation of a geometry-optimized HgAs2Au structure, from the Alexandria database.

abc: 2.8388 4.2090 7.3219
angles: 96.92 90.00 109.71
Last column: nearest neighbours and their distance in Å.
Positions (direct):
As  0.9678  0.9356  0.0058  1 As 2.50
As  0.7893  0.5785  0.2638  1 As 2.50, 2 Au 2.63
Au  0.5076  0.0152  0.4851  3 As 2.63-2.92, 2 Hg 2.83, 2 Au 2.84
Hg  0.2353  0.4706  0.7454  3 Au 2.83-3.06, 2 Hg 2.84, 3 As 2.85-3.03

Formation enthalpy at 0 K: 121 meV per atom
Density of states at the Fermi level: 1.28 states/eV/cell
Space group: Cm

=====

No. 4
The following is a GGA-PBEsol calculation of a geometry-optimized HgAs2Au structure, from the Alexandria database.

abc: 3.7982 4.5539 5.1930
angles: 106.09 90.00 90.00
Last column: nearest neighbours and their distance in Å.
Positions (direct):
As  0.0000  0.2624  0.3182  1 As 2.45, 2 Au 2.56
As  0.0000  0.7376  0.6818  1 As 2.45, 2 Au 2.56
Au  0.5000  0.0000  0.5000  4 As 2.56
Hg  0.5000  0.5000  0.0000  4 As 2.92, 2 Au 2.94

Formation enthalpy at 0 K: 14 meV per atom
Density of states at the Fermi level: 1.27 states/eV/cell
Space group: P2/m

=====

No. 5
The following is a GGA-PBEsol calculation of a geometry-optimized HgAs2Au structure, from the Alexandria database.

abc: 2.8043 5.1661 5.3122
angles: 90.00 90.00 90.00
Last column: nearest neighbours and their distance in Å.
Positions (direct):
As  0.0000  0.0000  0.0000  6 As 2.80-2.94, 4 Au 3.00
As  0.5000  0.5000  0.0000  6 As 2.80-2.94, 4 Hg 3.00
Au  0.5000  0.0000  0.5000  2 Au 2.80, 4 Hg 2.94, 4 As 3.00
Hg  0.0000  0.5000  0.5000  2 Hg 2.80, 4 Au 2.94, 4 As 3.00

Formation enthalpy at 0 K: 264 meV per atom
Density of states at the Fermi level: 1.45 states/eV/cell
Space group: Pmmm

=====

No. 6
The following is a GGA-PBEsol calculation of a geometry-optimized NaHg2AsAu structure, from the Alexandria database.

abc: 5.1522 5.1522 5.1662
angles: 90.00 90.00 90.00
Last column: nearest neighbours and their distance in Å.
Positions (direct):
Na  0.0000  0.0000  0.5000  2 Au 2.58
As  0.5000  0.5000  0.5000  4 Na 3.64, 8 Hg 3.65
Au  0.0000  0.0000  0.0000  4 Hg 2.58, 2 Na 2.58
Hg  0.0000  0.5000  0.0000  2 Au 2.58
Hg  0.5000  0.0000  0.0000  2 Au 2.58

Formation enthalpy at 0 K: 383 meV per atom
Density of states at the Fermi level: 3.31 states/eV/cell
Space group: P4/mmm

=====

No. 7
The following is a GGA-PBEsol calculation of a geometry-optimized HgAs2AuSe structure, from the Alexandria database.

abc: 5.0734 5.0734 5.1156
angles: 90.00 90.00 90.00
Last column: nearest neighbours and their distance in Å.
Positions (direct):
As  0.0000  0.5000  0.0000  2 Hg 2.54
As  0.5000  0.0000  0.0000  2 Hg 2.54
Au  0.5000  0.5000  0.5000  4 Se 3.59, 8 As 3.60
Hg  0.0000  0.0000  0.0000  4 As 2.54, 2 Se 2.56
Se  0.0000  0.0000  0.5000  2 Hg 2.56

Density of states at the Fermi level: 5.52 states/eV/cell
Space group: P4/mmm
Raw formation energy: 1.247 eV/atom

=====

No. 8
The following is a GGA-PBEsol calculation of a geometry-optimized Tl2HgAsAu structure, from the Alexandria database.

abc: 5.0940 5.5203 5.5203
angles: 90.00 90.00 90.00
Last column: nearest neighbours and their distance in Å.
Positions (direct):
As  0.5000  0.5000  0.5000  8 Tl 3.76, 4 Au 3.90
Tl  0.0000  0.0000  0.5000  2 Hg 2.76
Tl  0.0000  0.5000  0.0000  2 Hg 2.76
Au  0.5000  0.0000  0.0000  2 Hg 2.55
Hg  0.0000  0.0000  0.0000  2 Au 2.55, 4 Tl 2.76

Formation enthalpy at 0 K: 714 meV per atom
Density of states at the Fermi level: 3.62 states/eV/cell
Space group: P4/mmm

=====

Q: The highest density of states at the Fermi level belongs to which entry?
A: HgAs2AuSe